Here is a relaxed Ac2ZrNiO6 crystal from the Alexandria database. Energies are from PBE+U.

Cell: 8.2094 8.2094 8.2094 Å, 90.00 90.00 90.00°
Space group Fm-3m (No. 225)
Inequivalent atoms, fractional coordinates:
Ac  0.2500  0.2500  0.2500 [8 per cell]
Zr  0.0000  0.0000  0.0000 [4 per cell]
Ni  0.0000  0.0000  0.5000 [4 per cell]
O  0.0000  0.0000  0.2526 [24 per cell]

Calculated values
E_tot (eV/cell): -310.43
V (Å³/f.u.): 138.3
Spin magnetization (Bohr magnetons per cell): 8.00